one.
The following is a DFT calculation (PBE-GGA) of an optimized crystal structure of CsSbRuI2.

Values from the calculation:
- Volume: 327 Å³/cell
- Total moment: 5.2 μB/cell

Cell: 7.0676 7.0676 6.5526 Å, 90.00 90.00 90.00°
Last column: nearest neighbours and their distance in Å.
Element x y z (fractional)
Cs 0.0000 0.0000 0.0000  2 Sb 3.28, 4 I 3.53
I 0.0000 0.5000 0.0000  2 Cs 3.53
I 0.5000 0.0000 0.0000  2 Cs 3.53
Ru 0.5000 0.5000 0.5000  8 I 4.82, 4 Sb 5.00
Sb 0.0000 0.0000 0.5000  2 Cs 3.28

=====

two.
The following is a DFT calculation (PBE-GGA) of an optimized crystal structure of CsSbRuI2.

Values from the calculation:
- Volume: 174 Å³/cell
- Total moment: 0.0 μB/cell

Cell: 5.8888 5.8888 5.0264 Å, 90.00 90.00 90.00°
Last column: nearest neighbours and their distance in Å.
Element x y z (fractional)
Cs 0.5000 0.5000 0.5000  8 I 3.87, 4 Sb 4.16
I 0.0000 0.5000 0.0000  2 Ru 2.94
I 0.5000 0.0000 0.0000  2 Ru 2.94
Ru 0.0000 0.0000 0.0000  2 Sb 2.51
Sb 0.0000 0.0000 0.5000  2 Ru 2.51

=====

Referenced to the most stable arrangement, the calculated values in meV per atom are one 1615; two 0.

=====

one.
The following is a DFT calculation (PBE-GGA) of an optimized crystal structure of Cs2SI.

Values from the calculation:
- Volume: 181 Å³/cell
- Total moment: 1.0 μB/cell

Cell: 6.3538 6.3538 6.3538 Å, 60.00 60.00 60.00°
Last column: nearest neighbours and their distance in Å.
Element x y z (fractional)
Cs 0.2500 0.2500 0.2500  4 S 3.89, 4 I 3.89
Cs 0.7500 0.7500 0.7500  4 I 3.89, 4 S 3.89
I 0.5000 0.5000 0.5000  8 Cs 3.89
S 0.0000 0.0000 0.0000  8 Cs 3.89

=====

two.
The following is a DFT calculation (PBE-GGA) of an optimized crystal structure of Cs2SI.

Values from the calculation:
- Volume: 178 Å³/cell
- Total moment: 1.0 μB/cell

Cell: 4.4388 4.4388 9.0445 Å, 90.00 90.00 90.00°
Last column: nearest neighbours and their distance in Å.
Element x y z (fractional)
Cs 0.0000 0.0000 0.7639  4 S 3.80, 4 I 3.94
Cs 0.0000 0.0000 0.2361  4 S 3.80, 4 I 3.94
I 0.5000 0.5000 0.5000  8 Cs 3.94
S 0.5000 0.5000 0.0000  8 Cs 3.80

=====

three.
The following is a DFT calculation (PBE-GGA) of an optimized crystal structure of Cs2SI.

Values from the calculation:
- Volume: 576 Å³/cell
- Total moment: 2.0 μB/cell

Cell: 8.0659 8.0659 10.5320 Å, 67.49 67.49 90.00°
Last column: nearest neighbours and their distance in Å.
Element x y z (fractional)
Cs 0.5863 0.1250 0.2500  2 S 3.45, 2 I 3.79
Cs 0.1637 0.6250 0.2500  2 S 3.45, 2 I 3.79
Cs 0.3750 0.4137 0.7500  2 S 3.45, 2 I 3.79
Cs 0.8750 0.8363 0.7500  2 S 3.45, 2 I 3.79
I 0.0000 0.0000 0.0000  4 Cs 3.79
I 0.7500 0.2500 0.5000  4 Cs 3.79
S 0.5000 0.5000 0.0000  4 Cs 3.45
S 0.2500 0.7500 0.5000  4 Cs 3.45

=====

four.
The following is a DFT calculation (PBE-GGA) of an optimized crystal structure of Cs2SI.

Values from the calculation:
- Volume: 215 Å³/cell
- Total moment: 1.0 μB/cell

Cell: 5.4997 5.4997 8.7938 Å, 71.78 71.78 60.00°
Last column: nearest neighbours and their distance in Å.
Element x y z (fractional)
Cs 0.7599 0.7599 0.7204  3 S 3.65, 3 I 3.92
Cs 0.2401 0.2401 0.2796  3 S 3.65, 3 I 3.92
I 0.0000 0.0000 0.0000  6 Cs 3.92
S 0.5000 0.5000 0.5000  6 Cs 3.65

=====

Referenced to the most stable arrangement, the calculated values in meV per atom are one 59; two 19; three 99; four 0.

=====

one.
The following is a DFT calculation (PBE-GGA) of an optimized crystal structure of CsSI3.

Values from the calculation:
- Volume: 194 Å³/cell
- Total moment: 0.0 μB/cell

Cell: 5.7880 5.7880 5.7880 Å, 90.00 90.00 90.00°
Last column: nearest neighbours and their distance in Å.
Element x y z (fractional)
Cs 0.5000 0.5000 0.5000  12 I 4.09
I 0.0000 0.5000 0.0000  2 S 2.89
I 0.0000 0.0000 0.5000  2 S 2.89
I 0.5000 0.0000 0.0000  2 S 2.89
S 0.0000 0.0000 0.0000  6 I 2.89

=====

two.
The following is a DFT calculation (PBE-GGA) of an optimized crystal structure of CsSI3.

Values from the calculation:
- Volume: 417 Å³/cell
- Total moment: 4.0 μB/cell

Cell: 7.4725 7.4725 7.4725 Å, 90.00 90.00 90.00°
Last column: nearest neighbours and their distance in Å.
Element x y z (fractional)
Cs 0.0000 0.0000 0.0000  6 I 3.74
I 0.0000 0.5000 0.0000  2 Cs 3.74
I 0.0000 0.0000 0.5000  2 Cs 3.74
I 0.5000 0.0000 0.0000  2 Cs 3.74
S 0.5000 0.5000 0.5000  12 I 5.28

=====

Referenced to the most stable arrangement, the calculated values in meV per atom are one 0; two 957.